The following is a DFT calculation (PBE-GGA) of a geometry-optimized Nd2Sm5Ho12 structure.

The structure in extended XYZ format:
```
19
Lattice="6.176 0.000 0.000 -3.065 8.926 0.000 -2.071 -0.718 11.054" Properties=species:S:1:pos:R:3 pbc="T T T"
Nd -1.022 3.927 4.643
Nd 2.063 4.281 6.411
Sm 0.000 0.000 0.000
Sm -2.040 7.151 5.825
Sm -0.001 2.136 10.469
Sm 1.042 6.072 0.585
Sm 3.081 1.057 5.229
Ho -1.022 3.210 1.155
Ho -2.042 6.435 2.321
Ho 0.002 0.713 3.476
Ho -0.014 1.407 6.994
Ho -1.027 4.637 8.167
Ho -2.052 7.853 9.309
Ho 3.093 0.355 1.745
Ho 2.068 3.571 2.887
Ho 1.055 6.801 4.060
Ho 1.038 7.495 7.578
Ho 3.082 1.773 8.733
Ho 2.063 4.998 9.899
```

Output
- energy of formation (kcal/mol of atoms) = 0.43
- total moment (μB/cell) = 0.00
- ρ (Mg/m³) = 8.2
- ΔE to the lowest computed polymorph (eV per atom) = 0.000

=====

The following is a DFT calculation (PBE-GGA) of a geometry-optimized UGa5Fe structure.

The structure in extended XYZ format:
```
7
Lattice="4.275 0.000 0.000 0.000 4.275 0.000 0.000 0.000 6.672" Properties=species:S:1:pos:R:3 pbc="T T T"
U 0.000 0.000 0.000
Ga 0.000 2.137 2.055
Ga 0.000 2.137 4.617
Ga 2.137 0.000 2.055
Ga 2.137 0.000 4.617
Ga 2.137 2.137 0.000
Fe 0.000 0.000 3.336
```

Output
- energy of formation (kcal/mol of atoms) = -6.14
- total moment (μB/cell) = 1.21
- ρ (Mg/m³) = 8.8

=====

The following is a DFT calculation (PBE-GGA) of a geometry-optimized PaTl2Br7 structure.

The structure in extended XYZ format:
```
20
Lattice="9.123 -4.440 0.000 9.123 4.440 0.000 -8.100 0.000 9.532" Properties=species:S:1:pos:R:3 pbc="T T T"
Pa 3.048 3.435 7.149
Pa 7.098 -3.435 2.383
Tl 3.953 0.426 1.893
Tl -0.097 -0.426 6.659
Tl 10.243 0.426 2.873
Tl 6.193 -0.426 7.639
Br 0.340 2.868 6.764
Br 6.047 3.098 1.060
Br 3.700 2.987 4.510
Br 10.496 2.987 0.256
Br 8.149 3.098 3.706
Br 5.756 2.868 7.534
Br 3.048 0.592 7.149
Br 7.098 -0.592 2.383
Br 4.390 -2.868 1.998
Br 1.997 -3.098 5.826
Br -0.350 -2.987 9.276
Br 6.446 -2.987 5.022
Br 4.099 -3.098 8.472
Br 9.806 -2.868 2.768
```

Output
- electronic total energy (Ry/atom) = -0.277
- total moment (μB/cell) = 0.00
- ρ (Mg/m³) = 5.2

=====

The following is a DFT calculation (PBE-GGA) of a geometry-optimized KMnCr3 structure.

The structure in extended XYZ format:
```
5
Lattice="4.717 0.000 0.000 0.000 4.717 0.000 0.000 0.000 4.717" Properties=species:S:1:pos:R:3 pbc="T T T"
K 0.000 0.000 0.000
Mn 2.359 2.359 2.359
Cr 0.000 2.359 2.359
Cr 2.359 0.000 2.359
Cr 2.359 2.359 0.000
```

Output
- energy of formation (kcal/mol of atoms) = 26.39
- total moment (μB/cell) = 8.21
- ρ (Mg/m³) = 4.0
- ΔE to the lowest computed polymorph (eV per atom) = 0.000

=====

The following is a DFT calculation (PBE-GGA) of a geometry-optimized Ti2Cu5Pd12 structure.

The structure in extended XYZ format:
```
19
Lattice="5.917 -3.811 0.000 5.917 3.811 0.000 -1.082 0.000 6.445" Properties=species:S:1:pos:R:3 pbc="T T T"
Ti 5.917 1.977 0.000
Ti 5.917 -1.977 0.000
Cu -0.541 0.000 3.222
Cu 1.998 0.000 3.342
Cu 3.100 0.000 5.545
Cu 7.651 0.000 0.900
Cu 8.753 0.000 3.103
Pd 2.704 1.387 1.182
Pd 0.437 0.000 5.529
Pd 4.075 1.614 3.629
Pd 6.676 1.614 2.816
Pd 2.704 -1.387 1.182
Pd 5.029 0.000 1.469
Pd 5.722 0.000 4.976
Pd 8.047 1.387 5.263
Pd 4.075 -1.614 3.629
Pd 6.676 -1.614 2.816
Pd 10.314 0.000 0.916
Pd 8.047 -1.387 5.263
```

Output
- energy of formation (kcal/mol of atoms) = -2.85
- total moment (μB/cell) = 0.00
- ρ (Mg/m³) = 9.7

=====

The following is a DFT calculation (PBE-GGA) of a geometry-optimized Sm8Hg2Pt structure.

The structure in extended XYZ format:
```
11
Lattice="-2.738 3.548 8.251 2.738 -3.548 8.251 2.738 3.548 -8.251" Properties=species:S:1:pos:R:3 pbc="T T T"
Sm 2.738 1.883 -2.133
Sm 0.000 0.000 3.223
Sm 0.000 1.738 0.000
Sm 2.738 1.883 2.133
Sm 0.000 1.665 6.119
Sm 0.000 5.359 0.000
Sm 0.000 0.000 13.279
Sm 0.000 1.665 10.384
Hg 2.738 0.000 5.187
Hg 0.000 3.548 3.065
Pt 2.738 0.000 0.000
```

Output
- energy of formation (kcal/mol of atoms) = -6.53
- total moment (μB/cell) = 0.00
- ρ (Mg/m³) = 9.3
- ΔE to the lowest computed polymorph (eV per atom) = 0.080

=====

The following is a DFT calculation (PBE-GGA) of a geometry-optimized CsLi4Sm3Cl12 structure.

The structure in extended XYZ format:
```
20
Lattice="7.453 4.303 3.127 -7.453 4.303 3.127 0.000 -8.606 3.127" Properties=species:S:1:pos:R:3 pbc="T T T"
Cs 0.000 0.000 0.000
Li -3.103 -5.374 4.691
Li 0.000 0.000 4.691
Li -3.103 5.374 4.691
Li 6.206 0.000 4.691
Sm -4.303 -1.152 3.127
Sm -4.303 1.152 6.255
Sm 1.154 4.303 3.127
Cl -4.353 -3.410 4.676
Cl -6.320 0.000 4.691
Cl -0.776 -5.475 4.706
Cl -4.353 3.410 4.706
Cl -2.280 0.000 4.691
Cl 3.160 -5.473 4.691
Cl 1.140 -1.974 4.691
Cl 1.140 1.974 4.691
Cl -0.776 5.475 4.676
Cl 5.130 -2.065 4.676
Cl 3.160 5.473 4.691
Cl 5.130 2.065 4.706
```

Output
- electronic total energy (Ry/atom) = -0.305
- total moment (μB/cell) = 2.01
- ρ (Mg/m³) = 2.9

=====

The following is a DFT calculation (PBE-GGA) of a geometry-optimized Pr3Cu2Au4 structure.

The structure in extended XYZ format:
```
9
Lattice="5.461 -2.323 0.000 5.461 2.323 0.000 -3.209 0.000 8.150" Properties=species:S:1:pos:R:3 pbc="T T T"
Pr 0.000 0.000 0.000
Pr 2.578 0.000 2.719
Pr 5.134 0.000 5.431
Cu 1.973 0.000 5.835
Cu 5.740 0.000 2.315
Au -0.563 0.000 3.120
Au 0.110 0.000 7.621
Au 7.603 0.000 0.528
Au 8.275 0.000 5.030
```

Output
- energy of formation (kcal/mol of atoms) = -14.14
- total moment (μB/cell) = 0.00
- ρ (Mg/m³) = 10.7

=====

The following is a DFT calculation (PBE-GGA) of a geometry-optimized Dy3PPb structure.

The structure in extended XYZ format:
```
5
Lattice="5.252 0.000 0.000 0.000 5.252 0.000 0.000 0.000 5.252" Properties=species:S:1:pos:R:3 pbc="T T T"
Dy 0.000 0.000 2.626
Dy 0.000 2.626 0.000
Dy 2.626 0.000 0.000
P 0.000 0.000 0.000
Pb 2.626 2.626 2.626
```

Output
- energy of formation (kcal/mol of atoms) = -16.83
- total moment (μB/cell) = 0.00
- ρ (Mg/m³) = 8.3

=====

The following is a DFT calculation (PBE-GGA) of a geometry-optimized BeCu2Ir structure.

The structure in extended XYZ format:
```
8
Lattice="2.789 0.000 0.000 0.000 4.404 0.000 0.000 0.000 7.948" Properties=species:S:1:pos:R:3 pbc="T T T"
Be 0.000 0.000 0.000
Be 1.394 2.202 0.000
Cu 0.000 0.000 4.055
Cu 0.000 2.202 6.132
Cu 1.394 0.000 6.132
Cu 1.394 2.202 4.055
Ir 0.000 2.202 1.787
Ir 1.394 0.000 1.787
```

Output
- energy of formation (kcal/mol of atoms) = 0.20
- total moment (μB/cell) = 0.00
- ρ (Mg/m³) = 11.2

=====

The following is a DFT calculation (PBE-GGA) of a geometry-optimized AcEr2Pu structure.

The structure in extended XYZ format:
```
12
Lattice="3.523 0.000 0.000 -1.762 3.051 0.000 0.000 0.000 37.459" Properties=species:S:1:pos:R:3 pbc="T T T"
Ac 0.000 0.000 0.000
Ac 0.000 2.034 24.972
Ac 1.762 1.017 12.486
Er 0.000 0.000 3.518
Er 0.000 0.000 33.940
Er 0.000 2.034 21.454
Er 0.000 2.034 28.491
Er 1.762 1.017 8.968
Er 1.762 1.017 16.005
Pu 0.000 0.000 18.729
Pu 0.000 2.034 6.243
Pu 1.762 1.017 31.216
```

Output
- energy of formation (kcal/mol of atoms) = 6.47
- total moment (μB/cell) = 18.39
- ρ (Mg/m³) = 10.0
- ΔE to the lowest computed polymorph (eV per atom) = 0.135

=====

The following is a DFT calculation (PBE-GGA) of a geometry-optimized La3Tl structure.

The structure in extended XYZ format:
```
8
Lattice="3.752 0.000 0.000 0.000 11.481 0.000 0.000 0.000 6.211" Properties=species:S:1:pos:R:3 pbc="T T T"
La 0.000 0.000 0.000
La 0.000 2.599 2.287
La 0.000 8.881 2.287
La 1.876 3.141 5.392
La 1.876 5.740 3.105
La 1.876 8.340 5.392
Tl 0.000 5.740 0.266
Tl 1.876 0.000 3.371
```

Output
- energy of formation (kcal/mol of atoms) = -5.10
- total moment (μB/cell) = 0.00
- ρ (Mg/m³) = 7.7
- ΔE to the lowest computed polymorph (eV per atom) = 0.022